TlZn2SiTc after structural relaxation. Source: Alexandria, functional GGA-PBE.

**Electronic total energy**: -3.51 eV per atom
**Formation energy (no corrections)**: 0.6344 eV per atom

a = 4.6921 Å, b = 4.6921 Å, c = 4.7142 Å
α = 90.00°, β = 90.00°, γ = 90.00°
With the nearest neighbours (Å) after each atom.
Fractional coordinates of all 5 atoms:
Tl  0.0000  0.0000  0.0000  4 Tc 3.32, 8 Zn 3.33
Zn  0.0000  0.5000  0.5000  2 Si 2.35
Zn  0.5000  0.0000  0.5000  2 Si 2.35
Si  0.5000  0.5000  0.5000  4 Zn 2.35, 2 Tc 2.36
Tc  0.5000  0.5000  0.0000  2 Si 2.36